First-principles (GGA+U) data for Ho2ErWO8 after structural relaxation, as listed in the Alexandria database.

The density of states at the Fermi level comes out at 0.665 states/eV/atom. As for the total magnetic moment: 0.80 μB per formula unit. Its total energy is -95.01 eV per formula unit.

The space group is Cmmm (No. 65) and the conventional cell measures 7.069, 7.174 and 6.766 Å, with angles of 90.00, 90.00 and 90.00 degrees. The inequivalent atoms are Ho at (0.000, 0.000, 0.250), Er at (0.000, 0.500, 0.000), W at (0.000, 0.500, 0.500), O at (0.000, 0.317, 0.285), O at (0.194, 0.000, 0.000) and O at (0.224, 0.000, 0.500).